Computed, not measured: LiV3Te2O12 after structural relaxation at the GGA+U level of DFT.

Its total DFT energy (no corrections) is -118.85 eV per formula unit. As for the space-group type: P-1, No. 2.

abc: 6.2956 7.2658 10.7960
angles: 91.14 93.55 104.64
Fractional positions:
O  0.2963  0.2191  0.0626
O  0.7877  0.4024  0.4247
O  0.6180  0.1177  0.5914
O  0.1471  0.9435  0.5944
O  0.6275  0.7283  0.2696
O  0.5847  0.1631  0.9186
O  0.3820  0.8823  0.4086
O  0.7277  0.4560  0.0966
O  0.3521  0.2646  0.4549
O  0.0910  0.9033  0.2144
O  0.2123  0.5976  0.5753
O  0.2723  0.5440  0.9034
O  0.8160  0.4275  0.7562
O  0.6479  0.7354  0.5451
O  0.1441  0.8721  0.8829
O  0.8529  0.0565  0.4056
O  0.5145  0.1542  0.2531
O  0.7037  0.7809  0.9374
O  0.8559  0.1279  0.1171
O  0.4855  0.8458  0.7469
O  0.3725  0.2717  0.7304
O  0.4153  0.8369  0.0814
O  0.1840  0.5725  0.2438
O  0.9090  0.0967  0.7856
V  0.3429  0.7876  0.2447
V  0.3843  0.8086  0.5782
V  0.6169  0.2279  0.0846
V  0.3831  0.7721  0.9154
V  0.6157  0.1914  0.4218
V  0.6571  0.2124  0.7553
Te  0.1426  0.1794  0.2106
Te  0.8574  0.8206  0.7894
Te  0.8362  0.7844  0.4104
Te  0.1638  0.2156  0.5896
Li  0.7923  0.7536  0.1113
Li  0.2077  0.2464  0.8887